Compound: KIn3Sb3
Source: the Alexandria database
Functional: PBE
Structure: optimized geometry

Output
ρ: 4.55 g/cm³
ΔE_f (raw): -97.1 kJ/mol of formula units
distance to the lowest polymorph of the same formula: 23 meV/atom

Geometry as CIF:
```
data_KIn3Sb3
_chemical_formula_sum 'K2 In6 Sb6'
_cell_length_a 10.8609
_cell_length_b 10.8609
_cell_length_c 5.3522
_cell_angle_alpha 90.00
_cell_angle_beta 90.00
_cell_angle_gamma 120.00
_space_group_name_H-M_alt 'P 63/m'
_space_group_IT_number 176
_space_group_name_Hall '-P 6c'
loop_
_atom_site_label
_atom_site_fract_x
_atom_site_fract_y
_atom_site_fract_z
K1 0.3333 0.6667 0.2500
In1 0.0602 0.6636 0.7500
Sb1 0.0711 0.3971 0.7500
```

***

Compound: KInSb2
Source: the Alexandria database
Functional: PBE
Structure: optimized geometry

Output
ρ: 4.17 g/cm³
ΔE_f (raw): -29.4 kJ/mol of formula units

Geometry as CIF:
```
data_KInSb2
_chemical_formula_sum 'K4 In4 Sb8'
_cell_length_a 5.579
_cell_length_b 5.579
_cell_length_c 20.341
_cell_angle_alpha 90.00
_cell_angle_beta 90.00
_cell_angle_gamma 90.00
_space_group_name_H-M_alt 'I -4 2 d'
_space_group_IT_number 122
_space_group_name_Hall 'I -4 2bw'
loop_
_atom_site_label
_atom_site_fract_x
_atom_site_fract_y
_atom_site_fract_z
K1 0.000 0.000 0.000
In1 0.000 0.000 0.500
Sb1 0.122 0.250 0.625
```

***

Compound: KIn2Sb
Source: the Alexandria database
Functional: PBE
Structure: optimized geometry

Output
ρ: 4.39 g/cm³
ΔE_f (raw): -48.4 kJ/mol of formula units

Geometry as CIF:
```
data_KIn2Sb
_chemical_formula_sum 'K3 In6 Sb3'
_cell_length_a 4.7832
_cell_length_b 4.7832
_cell_length_c 22.3682
_cell_angle_alpha 90.00
_cell_angle_beta 90.00
_cell_angle_gamma 120.00
_space_group_name_H-M_alt 'R -3 m'
_space_group_IT_number 166
_space_group_name_Hall '-R 3 2"'
loop_
_atom_site_label
_atom_site_fract_x
_atom_site_fract_y
_atom_site_fract_z
K1 0.0000 0.0000 0.0000
In1 0.0000 0.0000 0.2288
Sb1 0.0000 0.0000 0.5000
```

***

Compound: KIn2Sb
Source: the Alexandria database
Functional: PBE
Structure: optimized geometry

Output
ρ: 5.23 g/cm³
ΔE_f (raw): -30.9 kJ/mol of formula units

Geometry as CIF:
```
data_KIn2Sb
_chemical_formula_sum 'K2 In4 Sb2'
_cell_length_a 5.165
_cell_length_b 5.165
_cell_length_c 9.286
_cell_angle_alpha 90.00
_cell_angle_beta 90.00
_cell_angle_gamma 90.00
_space_group_name_H-M_alt 'I 4/m m m'
_space_group_IT_number 139
_space_group_name_Hall '-I 4 2'
loop_
_atom_site_label
_atom_site_fract_x
_atom_site_fract_y
_atom_site_fract_z
K1 0.000 0.000 0.000
In1 0.000 0.500 0.250
Sb1 0.000 0.000 0.500
```

***

Compound: KIn2Sb2
Source: the Alexandria database
Functional: PBE
Structure: optimized geometry

Output
ρ: 4.90 g/cm³
ΔE_f (raw): -94.8 kJ/mol of formula units
distance to the lowest polymorph of the same formula: 55 meV/atom

Geometry as CIF:
```
data_KIn2Sb2
_chemical_formula_sum 'K2 In4 Sb4'
_cell_length_a 7.505
_cell_length_b 7.533
_cell_length_c 7.703
_cell_angle_alpha 63.90
_cell_angle_beta 63.80
_cell_angle_gamma 72.09
_space_group_name_H-M_alt 'P -1'
_space_group_IT_number 2
_space_group_name_Hall '-P 1'
loop_
_atom_site_label
_atom_site_fract_x
_atom_site_fract_y
_atom_site_fract_z
K1 0.036 0.464 0.250
In1 0.240 0.999 0.007
In2 0.499 0.261 0.492
Sb1 0.158 0.029 0.647
Sb2 0.469 0.342 0.853
```

***

Compound: K3InSb3
Source: the Alexandria database
Functional: PBE
Structure: optimized geometry

Output
ρ: 3.82 g/cm³
ΔE_f (raw): -252.8 kJ/mol of formula units

Geometry as CIF:
```
data_K3InSb3
_chemical_formula_sum 'K12 In4 Sb12'
_cell_length_a 13.154
_cell_length_b 5.313
_cell_length_c 15.753
_cell_angle_alpha 90.00
_cell_angle_beta 109.51
_cell_angle_gamma 90.00
_space_group_name_H-M_alt 'C 1 2/m 1'
_space_group_IT_number 12
_space_group_name_Hall '-C 2y'
loop_
_atom_site_label
_atom_site_fract_x
_atom_site_fract_y
_atom_site_fract_z
K1 0.017 0.000 0.380
K2 0.102 0.000 0.919
K3 0.227 0.000 0.216
In1 0.224 0.500 0.401
Sb1 0.028 0.500 0.228
Sb2 0.101 0.500 0.073
Sb3 0.150 0.500 0.559
```

***

Compound: K2InSb3
Source: the Alexandria database
Functional: PBE
Structure: optimized geometry

Output
ρ: 3.98 g/cm³
ΔE_f (raw): -100.3 kJ/mol of formula units

Geometry as CIF:
```
data_K2InSb3
_chemical_formula_sum 'K4 In2 Sb6'
_cell_length_a 6.5595
_cell_length_b 6.5595
_cell_length_c 12.5075
_cell_angle_alpha 90.00
_cell_angle_beta 90.00
_cell_angle_gamma 120.00
_space_group_name_H-M_alt 'P -3 m 1'
_space_group_IT_number 164
_space_group_name_Hall '-P 3 2"'
loop_
_atom_site_label
_atom_site_fract_x
_atom_site_fract_y
_atom_site_fract_z
K1 0.0000 0.0000 0.0000
K2 0.0000 0.0000 0.5000
K3 0.3333 0.6667 0.1077
In1 0.3333 0.6667 0.5654
Sb1 0.1502 0.3004 0.7599
```

***

Compound: KIn3Sb
Source: the Alexandria database
Functional: PBE
Structure: optimized geometry

Output
ρ: 4.20 g/cm³
ΔE_f (raw): 113.4 kJ/mol of formula units
distance to the lowest polymorph of the same formula: 0 meV/atom

Geometry as CIF:
```
data_KIn3Sb
_chemical_formula_sum 'K1 In3 Sb1'
_cell_length_a 5.847
_cell_length_b 5.847
_cell_length_c 5.847
_cell_angle_alpha 90.00
_cell_angle_beta 90.00
_cell_angle_gamma 90.00
_space_group_name_H-M_alt 'P m -3 m'
_space_group_IT_number 221
_space_group_name_Hall '-P 4 2 3'
loop_
_atom_site_label
_atom_site_fract_x
_atom_site_fract_y
_atom_site_fract_z
K1 0.000 0.000 0.000
In1 0.000 0.500 0.500
Sb1 0.500 0.500 0.500
```

***

Compound: KIn2Sb2
Source: the Alexandria database
Functional: PBE
Structure: optimized geometry

Output
ρ: 5.61 g/cm³
ΔE_f (raw): -52.2 kJ/mol of formula units
distance to the lowest polymorph of the same formula: 143 meV/atom

Geometry as CIF:
```
data_KIn2Sb2
_chemical_formula_sum 'K2 In4 Sb4'
_cell_length_a 8.722
_cell_length_b 8.722
_cell_length_c 3.989
_cell_angle_alpha 90.00
_cell_angle_beta 90.00
_cell_angle_gamma 90.00
_space_group_name_H-M_alt 'P 4/m b m'
_space_group_IT_number 127
_space_group_name_Hall '-P 4 2ab'
loop_
_atom_site_label
_atom_site_fract_x
_atom_site_fract_y
_atom_site_fract_z
K1 0.000 0.000 0.000
In1 0.132 0.368 0.000
Sb1 0.155 0.655 0.500
```

***

Compound: KIn4Sb2
Source: the Alexandria database
Functional: PBE
Structure: optimized geometry

Output
ρ: 5.51 g/cm³
ΔE_f (raw): -76.3 kJ/mol of formula units

Geometry as CIF:
```
data_KIn4Sb2
_chemical_formula_sum 'K2 In8 Sb4'
_cell_length_a 9.286
_cell_length_b 9.286
_cell_length_c 5.182
_cell_angle_alpha 90.00
_cell_angle_beta 90.00
_cell_angle_gamma 90.00
_space_group_name_H-M_alt 'P 42/m n m'
_space_group_IT_number 136
_space_group_name_Hall '-P 4n 2n'
loop_
_atom_site_label
_atom_site_fract_x
_atom_site_fract_y
_atom_site_fract_z
K1 0.000 0.000 0.000
In1 0.090 0.352 0.500
Sb1 0.217 0.783 0.500
```

***

Compound: KInSb2
Source: the Alexandria database
Functional: PBE
Structure: optimized geometry

Output
ρ: 5.03 g/cm³
ΔE_f (raw): -17.7 kJ/mol of formula units

Geometry as CIF:
```
data_KInSb2
_chemical_formula_sum 'K3 In3 Sb6'
_cell_length_a 4.0104
_cell_length_b 4.0104
_cell_length_c 28.2410
_cell_angle_alpha 90.00
_cell_angle_beta 90.00
_cell_angle_gamma 120.00
_space_group_name_H-M_alt 'R -3 m'
_space_group_IT_number 166
_space_group_name_Hall '-R 3 2"'
loop_
_atom_site_label
_atom_site_fract_x
_atom_site_fract_y
_atom_site_fract_z
K1 0.0000 0.0000 0.0000
In1 0.0000 0.0000 0.5000
Sb1 0.0000 0.0000 0.2349
```

***

Compound: K5In4Sb4
Source: the Alexandria database
Functional: PBE
Structure: optimized geometry

Output
ρ: 4.08 g/cm³
ΔE_f (raw): -362.0 kJ/mol of formula units

Geometry as CIF:
```
data_K5In4Sb4
_chemical_formula_sum 'K10 In8 Sb8'
_cell_length_a 13.812
_cell_length_b 13.812
_cell_length_c 4.874
_cell_angle_alpha 90.00
_cell_angle_beta 90.00
_cell_angle_gamma 90.00
_space_group_name_H-M_alt 'I 4/m'
_space_group_IT_number 87
_space_group_name_Hall '-I 4'
loop_
_atom_site_label
_atom_site_fract_x
_atom_site_fract_y
_atom_site_fract_z
K1 0.000 0.000 0.000
K2 0.140 0.208 0.500
In1 0.068 0.596 0.500
Sb1 0.048 0.737 0.000
```